Below is a relaxed structure of K3CaCr2O8, with properties calculated at the PBE+U level.

Unit cell a=5.9827 b=5.9827 c=7.6511 alpha=90.00 beta=90.00 gamma=120.00
Space group P-3m1 (No. 164)
One atom of each set of equivalent atoms:
K (0.0000, 0.0000, 0.0000) x1
K (0.3333, 0.6667, 0.6793) x2
Ca (0.0000, 0.0000, 0.5000) x1
Cr (0.3333, 0.6667, 0.2359) x2
O (0.1790, 0.3580, 0.3152) x6
O (0.3333, 0.6667, 0.0196) x2

Calculated values
Calculated total energy (eV/cell): -85.62
Crystal system: trigonal